Li5Nb2Ni5O12 | PBE with a Hubbard U | relaxed

Cell and atoms, written as CIF:
```
data_Li5Nb2Ni5O12
_cell_length_a 5.998
_cell_length_b 18.006
_cell_length_c 5.159
_cell_angle_alpha 90.00
_cell_angle_beta 125.26
_cell_angle_gamma 90.00
_symmetry_space_group_name_H-M 'C 1 2 1'
_symmetry_Int_Tables_number 5
loop_
_symmetry_equiv_pos_as_xyz
'x,y,z'
'-x,y,-z'
'x+1/2,y+1/2,z'
'-x+1/2,y+1/2,-z'
loop_
_atom_site_label
_atom_site_type_symbol
_atom_site_fract_x
_atom_site_fract_y
_atom_site_fract_z
_atom_site_occupancy
Li1 Li 0.000 0.000 0.000 1
Li2 Li 0.000 0.085 0.500 1
Li3 Li 0.000 0.245 0.500 1
Li4 Li 0.000 0.416 0.500 1
Li5 Li 0.000 0.750 0.500 1
Nb1 Nb 0.000 0.582 0.500 1
Nb2 Nb 0.000 0.834 0.000 1
Ni1 Ni 0.000 0.171 0.000 1
Ni2 Ni 0.000 0.334 0.000 1
Ni3 Ni 0.000 0.498 0.000 1
Ni4 Ni 0.000 0.669 0.000 1
Ni5 Ni 0.000 0.922 0.500 1
O1 O 0.234 0.837 0.477 1
O2 O 0.239 0.503 0.493 1
O3 O 0.240 0.586 0.986 1
O4 O 0.240 0.663 0.504 1
O5 O 0.248 0.252 0.994 1
O6 O 0.249 0.416 0.009 1
```

Computed properties:
- Calculated density: 5.15 g/cm3
- Total moment: 20.9 μB per cell
- Raw total energy: -6.011 eV per atom